This record from Alexandria describes a geometry-optimized MnPbCl2 structure. The functional is GGA-PBE.

a = 3.4167 Å, b = 3.4167 Å, c = 8.9878 Å
α = 90.00°, β = 90.00°, γ = 90.00°
Last column: nearest neighbours and their distance in Å.
Sites, in units of the cell vectors:
Mn 0.0000 0.0000 0.0000  1 Cl 2.24
Pb 0.5000 0.5000 0.4710  5 Cl 3.27-3.48, 4 Pb 3.42
Cl 0.0000 0.0000 0.7504  1 Mn 2.24
Cl 0.5000 0.5000 0.1076  4 Mn 2.60

Properties
raw formation energy = -0.44 eV per atom
V = 26.2 Å³/atom


This record from Alexandria describes a geometry-optimized MnPb2Cl structure. The functional is GGA-PBE.

a = 3.3287 Å, b = 3.3287 Å, c = 9.6581 Å
α = 90.00°, β = 90.00°, γ = 90.00°
Last column: nearest neighbours and their distance in Å.
Sites, in units of the cell vectors:
Mn 0.0000 0.0000 0.0000  4 Cl 2.69
Pb 0.0000 0.0000 0.4986  8 Pb 3.33-3.54
Pb 0.5000 0.5000 0.2244  4 Mn 3.20, 8 Pb 3.33-3.54, 1 Cl 3.46
Cl 0.5000 0.5000 0.8659  4 Mn 2.69

Properties
raw formation energy = -0.06 eV per atom
V = 26.8 Å³/atom